{"formula": "CsHfH2", "functional": "SCAN", "state": "PBEsol geometry", "cell": [[-3.885, 2.216, -0.063], [-2.878, -0.627, -3.366], [-3.835, -2.188, 0.715]], "species": ["Cs", "H", "H", "Hf"], "frac_coords": [[0.000, 0.000, 0.000], [0.250, 0.250, 0.250], [0.750, 0.750, 0.750], [0.500, 0.500, 0.500]], "crystal_system": "cubic", "m_tot_mub_per_fu": 0.015, "energy_ev_per_atom": -25.506, "dos_at_fermi_per_ev_cell": 2.692}

=====

{"formula": "CsHg2H2", "functional": "SCAN", "state": "PBEsol geometry", "cell": [[4.485, 0.000, 0.000], [0.000, 4.485, 0.000], [-2.243, -2.243, 4.990]], "species": ["Cs", "H", "H", "Hg", "Hg"], "frac_coords": [[0.000, 0.000, 0.000], [0.250, 0.750, 0.500], [0.750, 0.250, 0.500], [0.342, 0.342, 0.684], [0.658, 0.658, 0.316]], "crystal_system": "tetragonal", "m_tot_mub_per_fu": 0.000, "energy_ev_per_atom": -36.074, "dos_at_fermi_per_ev_cell": 0.827}

=====

{"formula": "Cs2HgH2", "functional": "SCAN", "state": "PBEsol geometry", "cell": [[-1.390, 3.174, 1.705], [-4.448, 1.722, -6.833], [-6.376, -4.423, 3.036]], "species": ["Cs", "Cs", "Cs", "Cs", "H", "H", "H", "H", "Hg", "Hg"], "frac_coords": [[0.500, 0.154, 0.654], [0.500, 0.654, 0.846], [0.500, 0.846, 0.346], [0.500, 0.346, 0.154], [0.000, 0.353, 0.853], [0.000, 0.853, 0.647], [0.000, 0.647, 0.147], [0.000, 0.147, 0.353], [0.000, 0.000, 0.000], [0.000, 0.500, 0.500]], "crystal_system": "tetragonal", "m_tot_mub_per_fu": 0.000, "energy_ev_per_atom": -30.307, "dos_at_fermi_per_ev_cell": 0.246}

=====

{"formula": "Cs2HI", "functional": "SCAN", "state": "PBEsol geometry", "cell": [[-5.476, -1.001, -5.249], [4.204, -6.351, 0.727], [-3.089, 1.508, 6.836]], "species": ["Cs", "Cs", "Cs", "Cs", "I", "I", "H", "H"], "frac_coords": [[0.078, 0.875, 0.453], [0.922, 0.375, 0.797], [0.422, 0.547, 0.625], [0.578, 0.203, 0.125], [0.000, 0.000, 0.000], [0.500, 0.750, 0.250], [0.000, 0.500, 0.500], [0.500, 0.250, 0.750]], "crystal_system": "tetragonal", "m_tot_mub_per_fu": 0.002, "energy_ev_per_atom": -29.883, "dos_at_fermi_per_ev_cell": 0.000}

=====

{"formula": "CsHIN2", "functional": "SCAN", "state": "PBEsol geometry", "cell": [[6.605, 0.000, 0.000], [0.000, 6.605, 0.000], [0.000, 0.000, 7.038]], "species": ["Cs", "I", "H", "N", "N"], "frac_coords": [[0.000, 0.000, 0.000], [0.000, 0.000, 0.500], [0.500, 0.500, 0.500], [0.000, 0.500, 0.000], [0.500, 0.000, 0.000]], "crystal_system": "tetragonal", "m_tot_mub_per_fu": 7.129, "energy_ev_per_atom": -17.482}

=====

{"formula": "CsSb2HI", "functional": "SCAN", "state": "PBEsol geometry", "cell": [[-3.581, -2.732, -1.337], [3.002, -3.509, -0.867], [-0.735, -2.253, 6.572]], "species": ["Cs", "I", "H", "Sb", "Sb"], "frac_coords": [[0.500, 0.500, 0.500], [0.000, 0.000, 0.500], [0.000, 0.000, 0.000], [0.000, 0.500, 0.000], [0.500, 0.000, 0.000]], "crystal_system": "tetragonal", "m_tot_mub_per_fu": 0.001, "energy_ev_per_atom": -30.403, "dos_at_fermi_per_ev_cell": 3.590}

=====

{"formula": "CsZnHI2", "functional": "SCAN", "state": "PBEsol geometry", "cell": [[-0.040, -2.780, 4.343], [4.560, -2.046, -1.267], [2.637, 4.197, 2.711]], "species": ["Cs", "I", "I", "Zn", "H"], "frac_coords": [[0.000, 0.000, 0.500], [0.000, 0.500, 0.000], [0.500, 0.000, 0.000], [0.500, 0.500, 0.500], [0.000, 0.000, 0.000]], "crystal_system": "tetragonal", "m_tot_mub_per_fu": 0.000, "energy_ev_per_atom": -25.621, "dos_at_fermi_per_ev_cell": 2.017}

=====

{"formula": "Cs3InH", "functional": "SCAN", "state": "PBEsol geometry", "cell": [[-5.478, 2.570, -3.703], [-0.371, -6.065, -3.660], [-4.492, -2.633, 4.818]], "species": ["Cs", "Cs", "Cs", "H", "In"], "frac_coords": [[0.000, 0.500, 0.000], [0.000, 0.000, 0.500], [0.500, 0.000, 0.000], [0.500, 0.500, 0.500], [0.000, 0.000, 0.000]], "crystal_system": "cubic", "m_tot_mub_per_fu": 0.000, "energy_ev_per_atom": -29.725, "dos_at_fermi_per_ev_cell": 3.377}

=====

{"formula": "CsK2TeH", "functional": "SCAN", "state": "PBEsol geometry", "cell": [[5.421, 0.000, 0.000], [0.000, 5.421, 0.000], [0.000, 0.000, 5.655]], "species": ["Cs", "H", "K", "K", "Te"], "frac_coords": [[0.000, 0.000, 0.500], [0.000, 0.000, 0.000], [0.000, 0.500, 0.000], [0.500, 0.000, 0.000], [0.500, 0.500, 0.500]], "crystal_system": "tetragonal", "m_tot_mub_per_fu": 0.000, "energy_ev_per_atom": -19.833, "dos_at_fermi_per_ev_cell": 0.000}

=====

{"formula": "CsLiMnP3HO10", "functional": "SCAN", "state": "PBEsol geometry", "cell": [[-1.201, -1.294, 6.250], [6.201, -0.924, 1.696], [2.006, 5.076, 3.673]], "species": ["Cs", "Li", "Mn", "P", "P", "P", "H", "O", "O", "O", "O", "O", "O", "O", "O", "O", "O"], "frac_coords": [[0.987, 0.013, 0.000], [0.014, 0.986, 0.500], [0.665, 0.335, 0.500], [0.562, 0.438, 0.000], [0.571, 0.803, 0.577], [0.197, 0.429, 0.423], [0.261, 0.739, 0.500], [0.678, 0.666, 0.426], [0.334, 0.322, 0.574], [0.153, 0.672, 0.414], [0.328, 0.847, 0.586], [0.571, 0.685, 0.836], [0.315, 0.429, 0.164], [0.995, 0.291, 0.487], [0.709, 0.005, 0.513], [0.719, 0.416, 0.130], [0.584, 0.281, 0.870]], "crystal_system": "monoclinic", "m_tot_mub_per_fu": 5.000, "energy_ev_per_atom": -11.453, "dos_at_fermi_per_ev_cell": 0.000}

=====

{"formula": "CsLiH4N2", "functional": "SCAN", "state": "PBEsol geometry", "cell": [[-2.261, 5.678, -1.182], [-3.531, -5.027, -1.003], [-2.853, 0.468, 7.701]], "species": ["Cs", "Cs", "Cs", "H", "H", "H", "H", "H", "H", "H", "H", "H", "H", "H", "H", "Li", "Li", "Li", "N", "N", "N", "N", "N", "N"], "frac_coords": [[0.500, 0.500, 0.500], [0.000, 0.500, 0.833], [0.500, 0.000, 0.167], [0.590, 0.906, 0.782], [0.316, 0.410, 0.115], [0.094, 0.684, 0.448], [0.410, 0.094, 0.782], [0.684, 0.590, 0.115], [0.906, 0.316, 0.448], [0.684, 0.094, 0.552], [0.906, 0.590, 0.218], [0.410, 0.316, 0.885], [0.316, 0.906, 0.552], [0.094, 0.410, 0.218], [0.590, 0.684, 0.885], [0.000, 0.000, 0.000], [0.000, 0.000, 0.333], [0.000, 0.000, 0.667], [0.854, 0.146, 0.500], [0.291, 0.146, 0.833], [0.854, 0.709, 0.167], [0.146, 0.854, 0.500], [0.709, 0.854, 0.833], [0.146, 0.291, 0.167]], "crystal_system": "hexagonal", "m_tot_mub_per_fu": 0.000, "energy_ev_per_atom": -9.608, "dos_at_fermi_per_ev_cell": 0.000}

=====

{"formula": "CsLiH4S2N2O6", "functional": "SCAN", "state": "PBEsol geometry", "cell": [[-1.856, -1.439, 4.907], [-7.038, -1.624, -2.918], [0.018, -9.949, -0.364]], "species": ["Cs", "Cs", "Li", "Li", "H", "H", "H", "H", "H", "H", "H", "H", "S", "S", "S", "S", "N", "N", "N", "N", "O", "O", "O", "O", "O", "O", "O", "O", "O", "O", "O", "O"], "frac_coords": [[0.194, 0.745, 0.092], [0.806, 0.255, 0.908], [0.353, 0.605, 0.713], [0.647, 0.395, 0.287], [0.883, 0.734, 0.524], [0.117, 0.266, 0.476], [0.816, 0.531, 0.496], [0.184, 0.469, 0.504], [0.715, 0.971, 0.644], [0.285, 0.029, 0.356], [0.033, 0.965, 0.642], [0.967, 0.035, 0.358], [0.597, 0.739, 0.394], [0.403, 0.261, 0.606], [0.805, 0.760, 0.815], [0.195, 0.240, 0.185], [0.847, 0.664, 0.452], [0.153, 0.336, 0.548], [0.868, 0.892, 0.656], [0.132, 0.108, 0.344], [0.645, 0.929, 0.342], [0.355, 0.071, 0.658], [0.586, 0.645, 0.283], [0.414, 0.355, 0.717], [0.369, 0.699, 0.512], [0.631, 0.301, 0.488], [0.576, 0.660, 0.821], [0.424, 0.340, 0.179], [0.764, 0.861, 0.926], [0.236, 0.139, 0.074], [0.025, 0.648, 0.818], [0.975, 0.352, 0.182]], "crystal_system": "triclinic", "m_tot_mub_per_fu": 0.000, "energy_ev_per_atom": -9.396, "dos_at_fermi_per_ev_cell": 0.000}